[1]
! K2AlSe PBE-GGA optimized geometry; values from VASP
&SYSTEM
  ibrav = 0, nat = 4, ntyp = 3
/
ATOMIC_SPECIES
K 39.10 K.upf
Al 26.98 Al.upf
Se 78.96 Se.upf
CELL_PARAMETERS angstrom
10.807 0.006 0.003
10.034 4.014 0.003
10.034 1.936 3.517
ATOMIC_POSITIONS crystal
K 0.020 0.020 0.020
K 0.223 0.223 0.223
Al 0.775 0.775 0.775
Se 0.482 0.482 0.482
! Space-group type   No. 160
! Density   2.01 Mg/m³
! Formation energy without anion corrections   -0.3797 eV/atom
! Distance to the lowest polymorph of the same formula   0.088 eV/atom
! N(E_F)   0.979 states/eV per cell



[2]
! Tb12Sm7Cd PBE-GGA optimized geometry; values from VASP
&SYSTEM
  ibrav = 0, nat = 20, ntyp = 3
/
ATOMIC_SPECIES
Sm 150.36 Sm.upf
Tb 158.93 Tb.upf
Cd 112.41 Cd.upf
CELL_PARAMETERS angstrom
-2.003 7.864 -3.176
-6.855 0.929 5.299
4.649 4.173 6.076
ATOMIC_POSITIONS crystal
Sm 0.395 0.079 0.148
Tb 0.861 0.246 0.743
Sm 0.148 0.395 0.079
Tb 0.257 0.139 0.754
Tb 0.499 0.388 0.861
Cd 0.000 0.000 0.000
Tb 0.754 0.257 0.139
Tb 0.861 0.499 0.388
Sm 0.500 0.500 0.500
Tb 0.612 0.139 0.501
Sm 0.921 0.852 0.605
Sm 0.852 0.605 0.921
Sm 0.605 0.921 0.852
Tb 0.388 0.861 0.499
Tb 0.139 0.501 0.612
Tb 0.501 0.612 0.139
Tb 0.743 0.861 0.246
Tb 0.139 0.754 0.257
Tb 0.246 0.743 0.861
Sm 0.079 0.148 0.395
! Space-group type   No. 148
! Energy relative to the elements   176 meV per atom
! Density   7.74 Mg/m³
! N(E_F)   28.401 states/eV per cell



[3]
! Na4Ho3NpS8 PBE-GGA optimized geometry; values from VASP
&SYSTEM
  ibrav = 0, nat = 16, ntyp = 4
/
ATOMIC_SPECIES
S 32.06 S.upf
Na 22.99 Na.upf
Ho 164.93 Ho.upf
Np 237.00 Np.upf
CELL_PARAMETERS angstrom
-1.405 4.709 -6.281
0.209 -6.466 -4.894
-4.991 0.054 6.220
ATOMIC_POSITIONS crystal
S 0.262 0.273 0.017
S 0.244 0.727 0.488
S 0.258 0.274 0.516
Na 0.000 0.000 0.500
S 0.244 0.727 0.983
S 0.738 0.727 0.983
Ho 0.000 0.500 0.500
S 0.756 0.273 0.512
Ho 0.500 0.500 0.000
Np 0.000 0.500 0.000
S 0.756 0.273 0.017
S 0.742 0.726 0.484
Na 0.000 0.000 0.000
Na 0.500 0.000 0.000
Na 0.500 0.000 0.500
Ho 0.500 0.500 0.500
! Space-group type   No. 166
! Density   4.88 Mg/m³
! Formation energy without anion corrections   -1.7141 eV/atom
! N(E_F)   6.632 states/eV per cell



Which formula does entry 1 have?
K2AlSe



Which formula does entry 3 have?
Na4Ho3NpS8



Look up the N(E_F) of the first one.
0.979 states/eV per cell



Look up the N(E_F) of the second one.
28.401 states/eV per cell